Record 1
First-principles (PBE) data for crystalline ThAl2ZnPt4 at its relaxed geometry, as listed in the Alexandria database.

Results
Symmetry: R-3m (166)
Formation enthalpy at 0 K: -1.01 eV/atom

a = 4.294 Å, b = 4.294 Å, c = 9.143 Å
α = 76.42°, β = 76.42°, γ = 60.00°
Element x y z (fractional)
Zn (0.500, 0.500, 0.500)
Th (0.000, 0.000, 0.000)
Pt (0.599, 0.599, 0.203)
Al (0.237, 0.237, 0.288)
Pt (0.867, 0.867, 0.399)
Pt (0.133, 0.133, 0.601)
Pt (0.401, 0.401, 0.797)
Al (0.763, 0.763, 0.712)



Record 2
First-principles (PBE) data for crystalline SmPuIn2O8 at its relaxed geometry, as listed in the Alexandria database.

Results
Symmetry: Cmmm (65)
Uncorrected formation energy: -2168 meV per atom

a = 5.061 Å, b = 5.059 Å, c = 6.845 Å
α = 90.00°, β = 90.00°, γ = 90.55°
Last column: magnetic moment on the atom in μB.
Element x y z (fractional)
O (0.186, 0.814, 0.785)  -0.06
O (0.686, 0.685, 0.500)  -0.03
O (0.314, 0.315, 0.500)  -0.03
Pu (0.000, 0.000, 0.000)  1.50
O (0.186, 0.814, 0.215)  -0.06
In (0.500, 0.500, 0.747)  0.00
O (0.814, 0.186, 0.215)  -0.06
In (0.500, 0.500, 0.253)  0.00
O (0.703, 0.703, 0.000)  -0.07
O (0.814, 0.186, 0.785)  -0.06
Sm (0.000, 0.000, 0.500)  0.00
O (0.297, 0.297, 0.000)  -0.07



Record 3
First-principles (PBE) data for crystalline TbPrBr at its relaxed geometry, as listed in the Alexandria database.

Results
Symmetry: R-3m (166)
Uncorrected formation energy: -738 meV per atom
ΔE to the lowest computed polymorph: 10 meV per atom

a = 3.831 Å, b = 3.831 Å, c = 16.973 Å
α = 83.52°, β = 83.52°, γ = 60.00°
Last column: magnetic moment on the atom in μB.
Element x y z (fractional)
Tb (0.861, 0.861, 0.417)  0.01
Tb (0.139, 0.139, 0.583)  0.01
Pr (0.414, 0.414, 0.757)  0.17
Pr (0.586, 0.586, 0.243)  0.17
Br (0.293, 0.293, 0.121)  0.00
Br (0.707, 0.707, 0.879)  0.00



no.,density of states at the Fermi level (states/eV/f.u.),electronic total energy (eV per atom)
1,1.6,-6.052
2,1.7,-7.518
3,2.2,-4.432